# Sm2HfMg

A geometry-optimized Sm2HfMg structure (PBE, Alexandria via LeMat-Bulk).

The structure in extended XYZ format:
```
4
Lattice="3.4273 0.0000 0.0000 0.0000 3.4273 0.0000 0.0000 0.0000 9.5219" Properties=species:S:1:pos:R:3 pbc="T T T"
Sm 0.0000 0.0000 2.3149
Hf 1.7136 1.7136 0.0000
Sm 0.0000 0.0000 7.2070
Mg 1.7136 1.7136 4.7610
```

Output
Spin magnetization   0.00 μB/cell
Final energy   -20.8 eV per cell
Space-group type   P4/mmm (123)